[1]
VASP calculation (PBE-GGA) on a geometry-optimized HfCrS3 structure.

Geometry as POSCAR:
```
HfCrS3
1.0
4.904 0.000 0.000
0.000 4.904 0.000
0.000 0.000 4.904
Cr S Hf
1 3 1
Direct
0.500 0.500 0.500 Cr
0.000 0.500 0.000 S
0.000 0.000 0.500 S
0.500 0.000 0.000 S
0.000 0.000 0.000 Hf
```

DOS at the Fermi energy: 0.92 states/eV/atom
Space group: Pm-3m
Formation energy from raw total energies: -0.353 eV/atom
Total energy: -33.72 eV for the cell shown



[2]
VASP calculation (PBE-GGA) on a geometry-optimized HfCrS4 structure.

Geometry as POSCAR:
```
HfCrS4
1.0
5.718 0.633 0.000
-0.789 6.084 0.000
-2.465 -3.358 6.325
Hf Cr S
2 2 8
Direct
0.368 0.618 0.236 Hf
0.632 0.382 0.764 Hf
0.315 0.065 0.129 Cr
0.685 0.935 0.871 Cr
0.025 0.196 0.882 S
0.749 0.635 0.606 S
0.357 0.686 0.882 S
0.357 0.971 0.606 S
0.643 0.029 0.394 S
0.643 0.314 0.118 S
0.251 0.365 0.394 S
0.975 0.804 0.118 S
```

DOS at the Fermi energy: 0.17 states/eV/atom
Space group: C2/c
Formation energy from raw total energies: -0.856 eV/atom
Total energy: -82.45 eV for the cell shown



Question: Which value of DOS at the Fermi energy does entry 2 give?
Answer: 0.17 states/eV/atom